Entry 1:
The following is a PBE calculation of a relaxed structure of SiPb2Au2, from the Alexandria database.

- E_form (uncorrected): 0.248 eV per atom
- Polymorph energy (0 for the lowest one): 0.149 eV/atom
- Uncorrected energy: -0.2669 Ry per atom
- Total moment: 0.000 μB per cell

Unit cell a=3.8156 b=3.8156 c=8.9670 alpha=77.72 beta=77.72 gamma=90.00
Last column: nearest neighbours and their distance in Å.
Sites, in units of the cell vectors:
Pb (0.4001, 0.4001, 0.1998)  4 Si 3.19, 4 Au 3.20, 1 Pb 3.42
Pb (0.5999, 0.5999, 0.8002)  4 Si 3.19, 4 Au 3.20, 1 Pb 3.42
Si (0.0000, 0.0000, 0.0000)  8 Pb 3.19
Au (0.7500, 0.2500, 0.5000)  4 Au 2.70
Au (0.2500, 0.7500, 0.5000)  4 Au 2.70

Entry 2:
The following is a PBE calculation of a relaxed structure of NdSm3Ho, from the Alexandria database.

- Polymorph energy (0 for the lowest one): 0.268 eV/atom
- Formation enthalpy at 0 K: 0.284 eV per atom
- Uncorrected energy: -0.3246 Ry per atom
- Total moment: 0.000 μB per cell

Unit cell a=3.6382 b=8.6602 c=11.7730 alpha=90.00 beta=90.00 gamma=101.34
Last column: nearest neighbours and their distance in Å.
Sites, in units of the cell vectors:
Nd (0.9418, 0.5245, 0.2500)  2 Ho 3.30-3.43, 2 Sm 3.35-3.59, 2 Nd 3.64
Nd (0.0582, 0.4755, 0.7500)  2 Ho 3.30-3.43, 2 Sm 3.35-3.59, 2 Nd 3.64
Sm (0.8364, 0.1936, 0.0016)  2 Ho 3.41-3.48, 6 Sm 3.47-3.77
Sm (0.1636, 0.8064, 0.9984)  2 Ho 3.41-3.48, 6 Sm 3.47-3.77
Sm (0.8364, 0.1936, 0.4984)  2 Ho 3.41-3.48, 6 Sm 3.47-3.77
Sm (0.1636, 0.8064, 0.5016)  2 Ho 3.41-3.48, 6 Sm 3.47-3.77
Sm (0.6671, 0.8719, 0.2500)  2 Ho 3.27, 2 Nd 3.35-3.59, 6 Sm 3.47-3.64
Sm (0.3329, 0.1281, 0.7500)  2 Ho 3.27, 2 Nd 3.35-3.59, 6 Sm 3.47-3.64
Ho (0.3182, 0.1917, 0.2500)  6 Sm 3.27-3.48, 2 Nd 3.30-3.43, 2 Ho 3.64
Ho (0.6818, 0.8083, 0.7500)  6 Sm 3.27-3.48, 2 Nd 3.30-3.43, 2 Ho 3.64

Entry 3:
The following is a PBE calculation of a relaxed structure of Cs2HgBr6F, from the Alexandria database.

- E_form (uncorrected): -0.821 eV per atom
- Uncorrected energy: -0.1627 Ry per atom
- Total moment: 0.000 μB per cell

Unit cell a=7.6365 b=7.6365 c=7.7949 alpha=60.67 beta=60.67 gamma=90.00
Last column: nearest neighbours and their distance in Å.
Sites, in units of the cell vectors:
Cs (0.7500, 0.2500, 0.5000)  12 Br 3.82-3.90
Cs (0.2500, 0.7500, 0.5000)  12 Br 3.82-3.90
Hg (0.0000, 0.0000, 0.0000)  6 Br 2.68-2.72
Br (0.2384, 0.2384, 0.5233)  1 Hg 2.68, 1 F 2.94
Br (0.7616, 0.7616, 0.4767)  1 Hg 2.68, 1 F 2.94
Br (0.2517, 0.2517, 0.0000)  1 F 2.68, 1 Hg 2.72
Br (0.7483, 0.7483, 0.0000)  1 F 2.68, 1 Hg 2.72
Br (0.7483, 0.2517, 0.0000)  1 F 2.68, 1 Hg 2.72
Br (0.2517, 0.7483, 0.0000)  1 F 2.68, 1 Hg 2.72
F (0.5000, 0.5000, 0.0000)  6 Br 2.68-2.94

Entry 4:
The following is a PBE calculation of a relaxed structure of NaTcPb2, from the Alexandria database.

- Polymorph energy (0 for the lowest one): 0.248 eV/atom
- Formation enthalpy at 0 K: 0.731 eV per atom
- Uncorrected energy: -0.2973 Ry per atom
- Total moment: 0.000 μB per cell

Unit cell a=6.0623 b=6.0623 c=9.1931 alpha=70.75 beta=70.75 gamma=90.00
Last column: nearest neighbours and their distance in Å.
Sites, in units of the cell vectors:
Pb (0.7663, 0.1250, 0.2500)  2 Tc 2.62
Pb (0.9837, 0.6250, 0.2500)  2 Tc 2.62
Pb (0.3750, 0.2337, 0.7500)  2 Tc 2.62
Pb (0.8750, 0.0163, 0.7500)  2 Tc 2.62
Na (0.5000, 0.5000, 0.0000)  4 Pb 3.47
Na (0.2500, 0.7500, 0.5000)  4 Pb 3.47
Tc (0.0000, 0.0000, 0.0000)  4 Pb 2.62
Tc (0.7500, 0.2500, 0.5000)  4 Pb 2.62